An optimized crystal structure of SmTh4Se5. Source: Alexandria via LeMat-Bulk, functional PBE.

abc: 11.100 11.100 11.100
angles: 158.20 148.96 38.25
Positions (direct):
Sm: 0.000 0.000 0.000
Th: 0.200 0.200 0.000
Th: 0.399 0.399 0.000
Th: 0.601 0.601 0.000
Th: 0.800 0.800 0.000
Se: 0.098 0.598 0.500
Se: 0.300 0.800 0.500
Se: 0.500 0.000 0.500
Se: 0.700 0.200 0.500
Se: 0.902 0.402 0.500

The total magnetization is 0.0 μB per formula unit. Its density is 9.4 g/cm³. Its uncorrected formation energy is -1.5976 eV/atom.

=====

An optimized crystal structure of SmTh5Se6. Source: Alexandria via LeMat-Bulk, functional PBE.

abc: 7.273 7.273 7.262
angles: 99.60 99.60 119.91
Positions (direct):
Sm: 0.000 0.000 0.000
Th: 0.168 0.832 0.500
Th: 0.333 0.667 0.000
Th: 0.500 0.500 0.500
Th: 0.667 0.333 0.000
Th: 0.832 0.168 0.500
Se: 0.082 0.412 0.247
Se: 0.247 0.247 0.751
Se: 0.412 0.082 0.247
Se: 0.588 0.918 0.753
Se: 0.753 0.753 0.249
Se: 0.918 0.588 0.753

The total magnetization is 0.0 μB per formula unit. Its density is 9.4 g/cm³. Its uncorrected formation energy is -1.5828 eV/atom.

=====

An optimized crystal structure of Sm3ThSe6. Source: Alexandria via LeMat-Bulk, functional PBE.

abc: 11.759 4.158 12.065
angles: 90.00 108.21 90.00
Positions (direct):
Sm: 0.074 0.250 0.166
Sm: 0.179 0.750 0.502
Sm: 0.340 0.250 0.921
Sm: 0.660 0.750 0.079
Sm: 0.821 0.250 0.498
Sm: 0.926 0.750 0.834
Th: 0.455 0.250 0.305
Th: 0.545 0.750 0.695
Se: 0.018 0.250 0.382
Se: 0.102 0.250 0.934
Se: 0.251 0.750 0.279
Se: 0.311 0.750 0.748
Se: 0.387 0.250 0.535
Se: 0.418 0.750 0.101
Se: 0.582 0.250 0.899
Se: 0.613 0.750 0.465
Se: 0.689 0.250 0.252
Se: 0.749 0.250 0.721
Se: 0.898 0.750 0.066
Se: 0.982 0.750 0.618

The total magnetization is 0.0 μB per formula unit. Its density is 6.9 g/cm³. Its uncorrected formation energy is -1.8339 eV/atom.

=====

An optimized crystal structure of Sm3ThSe4. Source: Alexandria via LeMat-Bulk, functional PBE.

abc: 4.105 4.105 28.377
angles: 90.00 90.00 120.00
Positions (direct):
Sm: 0.000 0.000 0.000
Sm: 0.000 0.000 0.500
Sm: 0.333 0.667 0.123
Sm: 0.333 0.667 0.377
Sm: 0.667 0.333 0.623
Sm: 0.667 0.333 0.877
Th: 0.333 0.667 0.750
Th: 0.667 0.333 0.250
Se: 0.000 0.000 0.185
Se: 0.000 0.000 0.315
Se: 0.000 0.000 0.685
Se: 0.000 0.000 0.815
Se: 0.333 0.667 0.561
Se: 0.333 0.667 0.939
Se: 0.667 0.333 0.061
Se: 0.667 0.333 0.439

The total magnetization is 0.0 μB per formula unit. Its density is 8.0 g/cm³. The value obtained for the energy above the most stable polymorph in this dataset is 6 meV per atom. Its uncorrected formation energy is -1.7336 eV/atom.

=====

An optimized crystal structure of Sm2Th3Se8. Source: Alexandria via LeMat-Bulk, functional PBE.

abc: 8.539 8.539 6.998
angles: 105.61 105.61 59.36
Positions (direct):
Sm: 0.245 0.245 0.167
Sm: 0.755 0.755 0.833
Th: 0.248 0.752 0.500
Th: 0.500 0.500 0.000
Th: 0.752 0.248 0.500
Se: 0.111 0.111 0.399
Se: 0.133 0.614 0.081
Se: 0.375 0.375 0.578
Se: 0.386 0.867 0.919
Se: 0.614 0.133 0.081
Se: 0.625 0.625 0.422
Se: 0.867 0.386 0.919
Se: 0.889 0.889 0.601

The total magnetization is 0.0 μB per formula unit. Its density is 6.5 g/cm³. Its uncorrected formation energy is -1.6603 eV/atom.

=====

An optimized crystal structure of SmTh2Se5. Source: Alexandria via LeMat-Bulk, functional PBE.

abc: 7.286 7.286 14.149
angles: 90.00 90.00 132.91
Positions (direct):
Sm: 0.217 0.783 0.750
Sm: 0.783 0.217 0.250
Th: 0.153 0.847 0.057
Th: 0.153 0.847 0.443
Th: 0.847 0.153 0.557
Th: 0.847 0.153 0.943
Se: 0.050 0.950 0.622
Se: 0.050 0.950 0.878
Se: 0.242 0.758 0.250
Se: 0.335 0.665 0.570
Se: 0.335 0.665 0.930
Se: 0.665 0.335 0.070
Se: 0.665 0.335 0.430
Se: 0.758 0.242 0.750
Se: 0.950 0.050 0.122
Se: 0.950 0.050 0.378

The total magnetization is 0.0 μB per formula unit. Its density is 6.1 g/cm³. The value obtained for the energy above the most stable polymorph in this dataset is 32 meV per atom. Its uncorrected formation energy is -1.6896 eV/atom.

=====

An optimized crystal structure of Sm2ThSe3. Source: Alexandria via LeMat-Bulk, functional PBE.

abc: 7.260 7.260 7.260
angles: 146.64 131.85 59.84
Positions (direct):
Sm: 0.167 0.167 0.000
Sm: 0.833 0.833 0.000
Th: 0.500 0.500 0.000
Se: 0.000 0.500 0.500
Se: 0.331 0.831 0.500
Se: 0.669 0.169 0.500

The total magnetization is 0.0 μB per formula unit. Its density is 8.2 g/cm³. The value obtained for the energy above the most stable polymorph in this dataset is 0 meV per atom. Its uncorrected formation energy is -1.7072 eV/atom.

=====

An optimized crystal structure of SmTh2Se4. Source: Alexandria via LeMat-Bulk, functional PBE.

abc: 7.084 7.084 14.523
angles: 90.00 90.00 147.19
Positions (direct):
Sm: 0.114 0.886 0.750
Sm: 0.886 0.114 0.250
Th: 0.357 0.643 0.565
Th: 0.357 0.643 0.935
Th: 0.643 0.357 0.065
Th: 0.643 0.357 0.435
Se: 0.000 0.000 0.000
Se: 0.000 0.000 0.500
Se: 0.289 0.711 0.131
Se: 0.289 0.711 0.369
Se: 0.454 0.546 0.750
Se: 0.546 0.454 0.250
Se: 0.711 0.289 0.631
Se: 0.711 0.289 0.869

The total magnetization is 0.0 μB per formula unit. Its density is 7.8 g/cm³. The value obtained for the energy above the most stable polymorph in this dataset is 20 meV per atom. Its uncorrected formation energy is -1.6351 eV/atom.